A plane-wave DFT calculation with PBE was carried out for crystalline Ba3Ag2Pd at its relaxed geometry.

Structure (POSCAR):
```
Ba3Ag2Pd
1.0
13.5953 0.0000 0.0000
0.0000 4.7855 0.0000
0.0000 0.0000 13.3390
Ba Ag Pd
12 8 4
Direct
0.0521 0.2500 0.1306 Ba
0.1152 0.7500 0.5544 Ba
0.2265 0.2500 0.8012 Ba
0.2735 0.7500 0.3012 Ba
0.3848 0.2500 0.0544 Ba
0.4479 0.7500 0.6306 Ba
0.5521 0.2500 0.3694 Ba
0.6152 0.7500 0.9456 Ba
0.7265 0.2500 0.6988 Ba
0.7735 0.7500 0.1988 Ba
0.8848 0.2500 0.4456 Ba
0.9479 0.7500 0.8694 Ba
0.0203 0.7500 0.3139 Ag
0.1985 0.7500 0.9958 Ag
0.3015 0.2500 0.4958 Ag
0.4797 0.2500 0.8139 Ag
0.5203 0.7500 0.1861 Ag
0.6985 0.7500 0.5042 Ag
0.8015 0.2500 0.0042 Ag
0.9797 0.2500 0.6861 Ag
0.1243 0.2500 0.3735 Pd
0.3757 0.7500 0.8735 Pd
0.6243 0.2500 0.1265 Pd
0.8757 0.7500 0.6265 Pd
```

The value obtained for the total energy is -3.131 eV/atom. The value obtained for the calculated formation energy is -0.354 eV/atom. Its symmetry is Pnma (62).

---

A plane-wave DFT calculation with PBE was carried out for crystalline Ba3Ag2Pd4 at its relaxed geometry.

Structure (POSCAR):
```
Ba3Ag2Pd4
1.0
5.6193 -2.3902 0.0000
5.6193 2.3902 0.0000
-1.5430 0.0000 8.9863
Ba Ag Pd
3 2 4
Direct
0.0000 0.0000 0.0000 Ba
0.3767 0.3767 0.6208 Ba
0.6233 0.6233 0.3792 Ba
0.3208 0.3208 0.2237 Ag
0.6792 0.6792 0.7763 Ag
0.0852 0.0852 0.6348 Pd
0.2530 0.2530 0.9137 Pd
0.7470 0.7470 0.0863 Pd
0.9148 0.9148 0.3652 Pd
```

The value obtained for the total energy is -4.020 eV/atom. The value obtained for the calculated formation energy is -0.438 eV/atom. Its symmetry is C2/m (12). The calculation puts the excess energy over the best structure of this formula in the dataset at 0.000 eV/atom.

---

A plane-wave DFT calculation with PBE was carried out for crystalline BaAgPd at its relaxed geometry.

Structure (POSCAR):
```
BaAgPd
1.0
-2.3595 2.6587 6.8610
2.3595 -2.6587 6.8610
2.3595 2.6587 -6.8610
Ba Ag Pd
2 2 2
Direct
0.3714 0.1214 0.2500 Ba
0.6286 0.8786 0.7500 Ba
0.0668 0.3168 0.7500 Ag
0.9332 0.6832 0.2500 Ag
0.0000 0.5000 0.5000 Pd
0.5000 0.5000 0.0000 Pd
```

The value obtained for the total energy is -3.679 eV/atom. The value obtained for the calculated formation energy is -0.357 eV/atom. Its symmetry is Imma (74). The calculation puts the excess energy over the best structure of this formula in the dataset at 0.015 eV/atom.

---

A plane-wave DFT calculation with PBE was carried out for crystalline BaAg5Pd2 at its relaxed geometry.

Structure (POSCAR):
```
BaAg5Pd2
1.0
-2.1339 4.0742 4.9887
2.1339 -4.0742 4.9887
2.1339 4.0742 -4.9887
Ba Ag Pd
1 5 2
Direct
0.0000 0.0000 0.0000 Ba
0.1705 0.3474 0.8231 Ag
0.4757 0.6526 0.8231 Ag
0.5000 0.0000 0.5000 Ag
0.5243 0.3474 0.1769 Ag
0.8295 0.6526 0.1769 Ag
0.2291 0.7291 0.5000 Pd
0.7709 0.2709 0.5000 Pd
```

The value obtained for the total energy is -3.430 eV/atom. The value obtained for the calculated formation energy is -0.109 eV/atom. Its symmetry is Immm (71).

---

A plane-wave DFT calculation with PBE was carried out for crystalline Ba8Ag2Pd3 at its relaxed geometry.

Structure (POSCAR):
```
Ba8Ag2Pd3
1.0
9.8518 0.0000 0.0000
0.0000 5.6255 0.0000
-3.3322 0.0000 9.2769
Ba Ag Pd
8 2 3
Direct
0.1156 0.0000 0.3832 Ba
0.1269 0.5000 0.8630 Ba
0.3627 0.5000 0.6259 Ba
0.3805 0.0000 0.1201 Ba
0.6195 0.0000 0.8799 Ba
0.6373 0.5000 0.3741 Ba
0.8731 0.5000 0.1370 Ba
0.8844 0.0000 0.6168 Ba
0.2518 0.5000 0.2478 Ag
0.7482 0.5000 0.7522 Ag
0.0000 0.5000 0.5000 Pd
0.2563 0.0000 0.7561 Pd
0.7437 0.0000 0.2439 Pd
```

The value obtained for the total energy is -3.128 eV/atom. The value obtained for the calculated formation energy is -0.308 eV/atom. Its symmetry is P2/m (10).

---

A plane-wave DFT calculation with PBE was carried out for crystalline BaPrAgPd at its relaxed geometry.

Structure (POSCAR):
```
BaPrAgPd
1.0
0.0000 3.8444 3.8444
3.8444 0.0000 3.8444
3.8444 3.8444 0.0000
Ba Pr Ag Pd
1 1 1 1
Direct
0.0000 0.0000 0.0000 Ba
0.5000 0.5000 0.5000 Pr
0.2500 0.2500 0.2500 Ag
0.7500 0.7500 0.7500 Pd
```

The value obtained for the total energy is -3.989 eV/atom. The value obtained for the calculated formation energy is -0.303 eV/atom. Its symmetry is F-43m (216).

---

A plane-wave DFT calculation with PBE was carried out for crystalline Ba8Ag2PdPt at its relaxed geometry.

Structure (POSCAR):
```
Ba8Ag2PdPt
1.0
7.6881 0.0000 0.0000
0.0000 9.5606 0.0000
-0.0222 0.0000 7.9190
Ba Ag Pd Pt
8 2 1 1
Direct
0.2223 0.2468 0.3364 Ba
0.2223 0.7532 0.3364 Ba
0.2525 0.0000 0.8164 Ba
0.2546 0.5000 0.8196 Ba
0.7454 0.5000 0.1804 Ba
0.7475 0.0000 0.1836 Ba
0.7777 0.2468 0.6636 Ba
0.7777 0.7532 0.6636 Ba
0.5000 0.2490 0.0000 Ag
0.5000 0.7510 0.0000 Ag
0.0000 0.5000 0.5000 Pd
0.0000 0.0000 0.5000 Pt
```

The value obtained for the total energy is -3.039 eV/atom. The value obtained for the calculated formation energy is -0.346 eV/atom. Its symmetry is P2/m (10).

---

A plane-wave DFT calculation with PBE was carried out for crystalline BaAgPd2Pt at its relaxed geometry.

Structure (POSCAR):
```
BaAgPd2Pt
1.0
5.0355 0.0000 0.0000
0.0000 5.0355 0.0000
0.0000 0.0000 5.0747
Ba Ag Pd Pt
1 1 2 1
Direct
0.0000 0.0000 0.0000 Ba
0.5000 0.5000 0.5000 Ag
0.0000 0.5000 0.5000 Pd
0.5000 0.0000 0.5000 Pd
0.5000 0.5000 0.0000 Pt
```

The value obtained for the total energy is -4.044 eV/atom. The value obtained for the calculated formation energy is 0.196 eV/atom. Its symmetry is P4/mmm (123).

---

A plane-wave DFT calculation with PBE was carried out for crystalline Ba6AgPdPt at its relaxed geometry.

Structure (POSCAR):
```
Ba6AgPdPt
1.0
8.0482 0.0000 0.0000
-4.0241 6.9699 0.0000
0.0000 0.0000 15.2808
Ba Ag Pd Pt
12 2 2 2
Direct
0.0034 0.3471 0.1332 Ba
0.0034 0.6563 0.3668 Ba
0.3437 0.3471 0.3668 Ba
0.3437 0.9966 0.1332 Ba
0.3471 0.0034 0.6332 Ba
0.3471 0.3437 0.8668 Ba
0.6529 0.6563 0.1332 Ba
0.6529 0.9966 0.3668 Ba
0.6563 0.0034 0.8668 Ba
0.6563 0.6529 0.6332 Ba
0.9966 0.3437 0.6332 Ba
0.9966 0.6529 0.8668 Ba
0.0000 0.0000 0.0000 Ag
0.0000 0.0000 0.5000 Ag
0.3333 0.6667 0.7500 Pd
0.6667 0.3333 0.2500 Pd
0.3333 0.6667 0.2500 Pt
0.6667 0.3333 0.7500 Pt
```

The value obtained for the total energy is -3.260 eV/atom. The value obtained for the calculated formation energy is -0.414 eV/atom. Its symmetry is P-31c (163).

---

A plane-wave DFT calculation with PBE was carried out for crystalline Ba6AgPdPt2 at its relaxed geometry.

Structure (POSCAR):
```
Ba6AgPdPt2
1.0
8.0500 0.0000 0.0000
-4.0241 6.9788 0.0000
-4.0248 -2.3259 7.5155
Ba Ag Pd Pt
6 1 1 2
Direct
0.0000 0.0000 0.0000 Ba
0.0006 0.7865 0.4889 Ba
0.3482 0.4771 0.4882 Ba
0.3840 0.6466 0.9995 Ba
0.6470 0.2626 0.0002 Ba
0.6573 0.1343 0.4883 Ba
0.8636 0.5632 0.7810 Ag
0.8570 0.0596 0.2706 Pd
0.4961 0.8794 0.7286 Pt
0.5057 0.3845 0.2434 Pt
```

The value obtained for the total energy is -3.658 eV/atom. The value obtained for the calculated formation energy is -0.492 eV/atom. Its symmetry is P1 (1).

---

A plane-wave DFT calculation with PBE was carried out for crystalline BaReAg2Pd at its relaxed geometry.

Structure (POSCAR):
```
BaReAg2Pd
1.0
5.1224 0.0000 0.0000
0.0000 5.1224 0.0000
0.0000 0.0000 5.6355
Ba Re Ag Pd
1 1 2 1
Direct
0.0000 0.0000 0.0000 Ba
0.0000 0.0000 0.5000 Re
0.0000 0.5000 0.5000 Ag
0.5000 0.0000 0.5000 Ag
0.5000 0.5000 0.0000 Pd
```

The value obtained for the total energy is -3.696 eV/atom. The value obtained for the calculated formation energy is 1.357 eV/atom. Its symmetry is P4/mmm (123).

---

A plane-wave DFT calculation with PBE was carried out for crystalline Ba6AgPd2Rh at its relaxed geometry.

Structure (POSCAR):
```
Ba6AgPd2Rh
1.0
8.0264 0.0000 0.0000
4.0043 6.9568 0.0000
4.0085 2.3204 7.2446
Ba Ag Pd Rh
6 1 2 1
Direct
0.0000 0.0000 0.0000 Ba
0.1172 0.8250 0.5232 Ba
0.2742 0.3523 0.0003 Ba
0.4714 0.1621 0.5229 Ba
0.6475 0.6266 0.0001 Ba
0.8085 0.4706 0.5233 Ba
0.5657 0.9181 0.2250 Ag
0.2120 0.5654 0.2845 Pd
0.7013 0.0545 0.8165 Pd
0.0646 0.4176 0.7272 Rh
```

The value obtained for the total energy is -3.514 eV/atom. The value obtained for the calculated formation energy is -0.302 eV/atom. Its symmetry is P1 (1).

---

Which formula does entry 8 have?
BaAgPd2Pt

---

Which value of calculated formation energy does entry 3 give?
-0.357 eV/atom